## Ac5Te2Os2 (GGA-PBE)

Data for crystalline Ac5Te2Os2 at its relaxed geometry.

Geometry as POSCAR:
```
Ac5Te2Os2
1.0
7.935 0.000 2.880
0.000 8.404 0.000
1.059 0.000 9.451
Ac Te Os
10 4 4
Direct
0.553 0.829 0.239 Ac
0.208 0.171 0.239 Ac
0.947 0.329 0.761 Ac
0.000 0.000 0.000 Ac
0.447 0.171 0.761 Ac
0.053 0.671 0.239 Ac
0.292 0.671 0.761 Ac
0.500 0.500 0.000 Ac
0.792 0.829 0.761 Ac
0.708 0.329 0.239 Ac
0.708 0.500 0.583 Te
0.292 0.500 0.417 Te
0.208 0.000 0.583 Te
0.792 0.000 0.417 Te
0.890 0.610 0.000 Os
0.110 0.390 0.000 Os
0.390 0.890 0.000 Os
0.610 0.110 0.000 Os
```

Values from the calculation:
space group = Cmce, No. 64


## Ac5TeOs2 (GGA-PBE)

Data for crystalline Ac5TeOs2 at its relaxed geometry.

Geometry as POSCAR:
```
Ac5TeOs2
1.0
7.698 0.000 -3.634
-1.715 7.504 -3.634
-0.278 -0.349 9.381
Ac Os Te
10 4 2
Direct
0.286 0.786 0.261 Ac
0.714 0.214 0.739 Ac
0.975 0.475 0.261 Ac
0.475 0.286 0.261 Ac
0.500 0.500 0.000 Ac
0.000 0.000 0.000 Ac
0.025 0.525 0.739 Ac
0.525 0.714 0.739 Ac
0.786 0.975 0.261 Ac
0.214 0.025 0.739 Ac
0.142 0.358 0.000 Os
0.642 0.142 0.000 Os
0.858 0.642 0.000 Os
0.358 0.858 0.000 Os
0.250 0.250 0.500 Te
0.750 0.750 0.500 Te
```

Values from the calculation:
space group = I4/mcm, No. 140


## AcThTeOs (GGA-PBE)

Data for crystalline AcThTeOs at its relaxed geometry.

Geometry as POSCAR:
```
AcThTeOs
1.0
-3.229 2.556 1.193
0.967 -3.466 2.334
6.832 3.753 2.743
Os Ac Th Te
1 1 1 1
Direct
0.320 0.558 0.894 Os
0.499 0.147 0.662 Ac
0.101 0.949 0.065 Th
0.957 0.377 0.349 Te
```

Values from the calculation:
space group = R3m, No. 160


| no. | final energy (eV per cell) |
| --- | --- |
| 1 | -109.806 |
| 2 | -98.327 |
| 3 | -28.640 |